BaScRh2: optimized geometry, GGA-PBE.

Cell lengths 3.293, 4.129, 6.923 Å; angles 90.00, 90.00, 90.00 degrees
Element x y z (fractional)
Ba: 0.000 0.000 0.000
Sc: 0.500 0.500 0.577
Rh: 0.000 0.000 0.478
Rh: 0.500 0.500 0.235

Computed properties:
DFT formation energy: -0.09 eV per atom
electronic total energy: -5.83 eV/atom
volume: 94.1 Å³ per cell
symmetry: Pmm2, No. 25
ρ: 6.8 g cm⁻³

***

BaScRh2: optimized geometry, GGA-PBE.

Cell lengths 3.331, 3.349, 7.647 Å; angles 90.00, 90.08, 90.00 degrees
Element x y z (fractional)
Ba: 0.000 0.000 0.000
Sc: 0.000 0.000 0.500
Rh: 0.500 0.500 0.305
Rh: 0.500 0.500 0.695

Computed properties:
DFT formation energy: -0.42 eV per atom
electronic total energy: -6.16 eV/atom
volume: 85.3 Å³ per cell
symmetry: P2/m, No. 10
ρ: 7.6 g cm⁻³